Hf2TaH3, relaxed, DFT GGA-PBE; DOS(E_F) = 5.54 states/eV/cell; magnetic moment = 0.0 μB/f.u.; crystal system = monoclinic; energy = -86.27 eV/cell
1.0
-2.414 -4.399 -0.488
4.586 -2.130 -3.488
1.107 1.675 5.473
Hf H Ta
4 6 2
direct
0.327 0.413 0.661
0.673 0.587 0.339
0.666 0.087 0.339
0.334 0.913 0.661
0.625 0.750 0.000
0.989 0.891 0.761
0.772 0.391 0.761
0.011 0.109 0.239
0.228 0.609 0.239
0.375 0.250 0.000
0.995 0.250 0.000
0.005 0.750 0.000